1.
# FeTc4 PBE optimized geometry
# formation enthalpy at 0 K = 1369 meV/atom
# ΔE to the lowest computed polymorph = 1285 meV/atom
# ρ = 9.11 g/cm³
# volume = 82 Å³ per cell
data_FeTc4
_chemical_formula_sum 'Fe1 Tc4'
_cell_length_a 4.337
_cell_length_b 4.337
_cell_length_c 4.337
_cell_angle_alpha 90.00
_cell_angle_beta 90.00
_cell_angle_gamma 90.00
_symmetry_space_group_name_H-M 'P m -3 m'
_symmetry_Int_Tables_number 221
_symmetry_space_group_name_Hall '-P 4 2 3'
loop_
_atom_site_label
_atom_site_type_symbol
_atom_site_fract_x
_atom_site_fract_y
_atom_site_fract_z
Fe1 Fe 0.000 0.000 0.000
Tc1 Tc 0.000 0.000 0.500
Tc2 Tc 0.500 0.500 0.500

2.
# NbSIN2 PBE optimized geometry
# ΔE to the lowest computed polymorph = 0 meV/atom
# ρ = 5.10 g/cm³
# formation energy (no corrections) = 2.57 eV/f.u.
# volume = 91 Å³ per cell
data_NbSIN2
_chemical_formula_sum 'Nb1 S1 I1 N2'
_cell_length_a 4.046
_cell_length_b 4.046
_cell_length_c 5.571
_cell_angle_alpha 90.00
_cell_angle_beta 90.00
_cell_angle_gamma 90.00
_symmetry_space_group_name_H-M 'P 4/m m m'
_symmetry_Int_Tables_number 123
_symmetry_space_group_name_Hall '-P 4 2'
loop_
_atom_site_label
_atom_site_type_symbol
_atom_site_fract_x
_atom_site_fract_y
_atom_site_fract_z
Nb1 Nb 0.000 0.000 0.000
S1 S 0.000 0.000 0.500
I1 I 0.500 0.500 0.500
N1 N 0.000 0.500 0.000

3.
# SrCa2YRh PBE optimized geometry
# formation enthalpy at 0 K = -257 meV/atom
# ρ = 3.39 g/cm³
# volume = 176 Å³ per cell
data_SrCa2YRh
_chemical_formula_sum 'Sr1 Ca2 Y1 Rh1'
_cell_length_a 5.705
_cell_length_b 5.705
_cell_length_c 5.420
_cell_angle_alpha 90.00
_cell_angle_beta 90.00
_cell_angle_gamma 90.00
_symmetry_space_group_name_H-M 'P 4/m m m'
_symmetry_Int_Tables_number 123
_symmetry_space_group_name_Hall '-P 4 2'
loop_
_atom_site_label
_atom_site_type_symbol
_atom_site_fract_x
_atom_site_fract_y
_atom_site_fract_z
Sr1 Sr 0.000 0.000 0.000
Ca1 Ca 0.000 0.500 0.500
Y1 Y 0.500 0.500 0.000
Rh1 Rh 0.500 0.500 0.500

4.
# Ir2RuSe PBE optimized geometry
# ρ = 11.00 g/cm³
# formation energy (no corrections) = 2.94 eV/f.u.
# volume = 341 Å³ per cell
data_Ir2RuSe
_chemical_formula_sum 'Ir8 Ru4 Se4'
_cell_length_a 5.823
_cell_length_b 5.823
_cell_length_c 10.049
_cell_angle_alpha 90.00
_cell_angle_beta 90.00
_cell_angle_gamma 90.00
_symmetry_space_group_name_H-M 'I -4 2 d'
_symmetry_Int_Tables_number 122
_symmetry_space_group_name_Hall 'I -4 2bw'
loop_
_atom_site_label
_atom_site_type_symbol
_atom_site_fract_x
_atom_site_fract_y
_atom_site_fract_z
Ir1 Ir 0.246 0.250 0.125
Ru1 Ru 0.000 0.000 0.000
Se1 Se 0.000 0.000 0.500

5.
# KPtCl2 PBE optimized geometry
# ΔE to the lowest computed polymorph = 115 meV/atom
# ρ = 4.06 g/cm³
# formation energy (no corrections) = -2.75 eV/f.u.
# volume = 249 Å³ per cell
data_KPtCl2
_chemical_formula_sum 'K2 Pt2 Cl4'
_cell_length_a 13.261
_cell_length_b 4.358
_cell_length_c 4.582
_cell_angle_alpha 90.00
_cell_angle_beta 109.63
_cell_angle_gamma 90.00
_symmetry_space_group_name_H-M 'C 1 m 1'
_symmetry_Int_Tables_number 8
_symmetry_space_group_name_Hall 'C -2y'
loop_
_atom_site_label
_atom_site_type_symbol
_atom_site_fract_x
_atom_site_fract_y
_atom_site_fract_z
K1 K 0.000 0.000 0.000
Pt1 Pt 0.147 0.500 0.642
Cl1 Cl 0.207 0.000 0.701
Cl2 Cl 0.456 0.000 0.457

6.
# ZrV2InPt PBE optimized geometry
# formation enthalpy at 0 K = 1651 meV/atom
# ρ = 7.21 g/cm³
# volume = 116 Å³ per cell
data_ZrV2InPt
_chemical_formula_sum 'Zr1 V2 In1 Pt1'
_cell_length_a 4.727
_cell_length_b 4.727
_cell_length_c 5.186
_cell_angle_alpha 90.00
_cell_angle_beta 90.00
_cell_angle_gamma 90.00
_symmetry_space_group_name_H-M 'P 4/m m m'
_symmetry_Int_Tables_number 123
_symmetry_space_group_name_Hall '-P 4 2'
loop_
_atom_site_label
_atom_site_type_symbol
_atom_site_fract_x
_atom_site_fract_y
_atom_site_fract_z
Zr1 Zr 0.000 0.000 0.000
V1 V 0.000 0.500 0.500
In1 In 0.000 0.000 0.500
Pt1 Pt 0.500 0.500 0.000